No. 1
Entry from Alexandria via LeMat-Bulk: V5Re2W after structural relaxation (PBE-GGA). Values from VASP.

Geometry as Quantum ESPRESSO input:
```
&SYSTEM
  ibrav = 0, nat = 16, ntyp = 3
/
ATOMIC_SPECIES
V 50.94 V.upf
Re 186.21 Re.upf
W 183.84 W.upf
ATOMIC_POSITIONS crystal
V 0.000 0.000 0.000
V 0.000 0.500 0.500
V 0.000 0.351 0.746
V 0.000 0.649 0.254
V 0.000 0.149 0.246
V 0.000 0.851 0.754
V 0.500 0.165 0.882
V 0.500 0.835 0.118
V 0.500 0.335 0.382
V 0.500 0.665 0.618
Re 0.500 0.176 0.626
Re 0.500 0.824 0.374
Re 0.500 0.324 0.126
Re 0.500 0.676 0.874
W 0.000 0.000 0.500
W 0.000 0.500 0.000
CELL_PARAMETERS angstrom
-1.136 2.113 -3.656
-1.671 -4.446 -2.050
-9.189 1.687 3.831
```

Computed properties:
The energy relative to the lowest polymorph listed for this composition comes out at 118 meV/atom. As for the space group: Pbam (55). As for the crystal system: orthorhombic.

***

No. 2
Entry from Alexandria via LeMat-Bulk: PaTi2VC4 after structural relaxation (PBE-GGA). Values from VASP.

Geometry as Quantum ESPRESSO input:
```
&SYSTEM
  ibrav = 0, nat = 16, ntyp = 4
/
ATOMIC_SPECIES
Pa 231.04 Pa.upf
Ti 47.87 Ti.upf
V 50.94 V.upf
C 12.01 C.upf
ATOMIC_POSITIONS crystal
Pa 0.112 0.225 0.750
Pa 0.888 0.775 0.250
Ti 0.371 0.742 0.540
Ti 0.629 0.258 0.040
Ti 0.629 0.258 0.460
Ti 0.371 0.742 0.960
V 0.846 0.692 0.750
V 0.154 0.308 0.250
C 0.263 0.525 0.115
C 0.737 0.475 0.615
C 0.737 0.475 0.885
C 0.263 0.525 0.385
C 0.000 0.000 0.500
C 0.000 0.000 0.000
C 0.448 0.897 0.750
C 0.552 0.103 0.250
CELL_PARAMETERS angstrom
-2.091 2.361 0.588
-2.953 -4.099 -2.788
-2.545 -4.615 9.480
```

Computed properties:
As for the space group: Cmcm (63). As for the crystal system: orthorhombic.

***

no.,energy of formation (eV per atom),E_tot (eV/atom),ρ (g/cm³)
1,-0.124,-10.555,11.792
2,-0.409,-9.322,7.331